The following is a GGA-PBE calculation of a relaxed Zr3W crystal, from Alexandria via LeMat-Bulk.

```
Zr3W
1.0
1.6606 -2.5176 0.0000
1.6606 2.5176 0.0000
0.0000 0.0000 9.9977
Zr W
3 1
Direct
0.0000 0.0000 0.0000
0.5000 0.5000 0.2757
0.5000 0.5000 0.7243
0.0000 0.0000 0.5000
```

Calculated values
N(E_F)   5.3 states/eV per cell
Crystal system   orthorhombic
Size of the total moment   0.000 μB/cell
Formation energy from the elements   0.149 eV per atom
SG   No. 65


The following is a GGA-PBE calculation of a relaxed Tb2HoF crystal, from Alexandria via LeMat-Bulk.

```
Tb2HoF
1.0
1.8442 1.0647 8.4497
-1.8442 1.0647 8.4497
0.0000 -2.1294 8.4497
Tb Ho F
2 1 1
Direct
0.2231 0.2231 0.2231
0.7769 0.7769 0.7769
0.0000 0.0000 0.0000
0.5000 0.5000 0.5000
```

Calculated values
N(E_F)   3.0 states/eV per cell
Crystal system   trigonal
Size of the total moment   0.000 μB/cell
SG   No. 166
Uncorrected formation energy   -1.14 eV per atom


The following is a GGA-PBE calculation of a relaxed TiPdPb2 crystal, from Alexandria via LeMat-Bulk.

```
TiPdPb2
1.0
0.0000 3.5008 3.5008
3.5008 0.0000 3.5008
3.5008 3.5008 0.0000
Ti Pd Pb
1 1 2
Direct
0.0000 0.0000 0.0000
0.5000 0.5000 0.5000
0.2500 0.2500 0.2500
0.7500 0.7500 0.7500
```

Calculated values
N(E_F)   1.6 states/eV per cell
Crystal system   cubic
Size of the total moment   1.896 μB/cell
Formation energy from the elements   0.060 eV per atom
SG   No. 225


The following is a GGA-PBE calculation of a relaxed In2Pb3Cl8 crystal, from Alexandria via LeMat-Bulk.

```
In2Pb3Cl8
1.0
7.3190 -4.3865 0.0000
7.3190 4.3865 0.0000
-0.0698 0.0000 7.3700
In Pb Cl
2 3 8
Direct
0.2148 0.2148 0.0040
0.7852 0.7852 0.9960
0.2439 0.7561 0.5000
0.5000 0.5000 0.0000
0.7561 0.2439 0.5000
0.1079 0.1079 0.3529
0.1550 0.6184 0.1714
0.3816 0.8450 0.8286
0.3918 0.3918 0.6663
0.6082 0.6082 0.3337
0.6184 0.1550 0.1714
0.8450 0.3816 0.8286
0.8921 0.8921 0.6471
```

Calculated values
N(E_F)   0.0 states/eV per cell
Crystal system   monoclinic
Size of the total moment   0.000 μB/cell
SG   No. 12
Uncorrected formation energy   -1.04 eV per atom


Question: Which value of N(E_F) does entry 4 give?
Answer: 0.0 states/eV per cell


Question: What is the size of the total moment in the first record?
Answer: 0.000 μB/cell